Entry from Alexandria: an optimized crystal structure of CsMgP (PBE).

abc: 10.9225 4.4807 4.4892
angles: 90.00 90.10 78.52
Fractional positions:
Mg1 0.5192 0.6380 0.7506
Mg2 0.5194 0.1379 0.2506
P1 0.6506 0.0743 0.7511
P2 0.3880 0.7017 0.2500
Cs1 0.2297 0.2785 0.7491
Cs2 0.8091 0.4973 0.2517

Calculated values
Its formation energy is -13.40 kcal/mol of atoms. Its final energy is -19.20 eV/cell.